Below is a relaxed structure of SrPr3S6, with properties calculated at the GGA-PBE level.

a = 7.034 Å, b = 7.456 Å, c = 10.798 Å
α = 90.00°, β = 89.82°, γ = 90.00°
Fractional positions:
S 0.305 0.809 0.406
Sr 0.000 0.000 0.000
S 0.195 0.309 0.094
S 0.820 0.913 0.261
S 0.680 0.413 0.239
Pr 0.051 0.586 0.249
S 0.185 0.303 0.403
S 0.695 0.191 0.594
Pr 0.551 0.914 0.749
S 0.315 0.803 0.097
Pr 0.449 0.086 0.251
Pr 0.500 0.500 0.000
S 0.685 0.197 0.903
S 0.815 0.697 0.597
Pr 0.000 0.000 0.500
S 0.180 0.087 0.739
S 0.805 0.691 0.906
S 0.320 0.587 0.761
Sr 0.500 0.500 0.500
Pr 0.949 0.414 0.751

Results
SG = P2_1/c, No. 14
formation energy without anion corrections = -1775 meV/atom

=====

Below is a relaxed structure of YCd2CuS, with properties calculated at the GGA-PBE level.

a = 6.165 Å, b = 5.004 Å, c = 6.165 Å
α = 90.00°, β = 90.00°, γ = 90.00°
Fractional positions:
Cd 0.500 0.000 0.000
S 0.000 0.500 0.000
Cd 0.000 0.000 0.500
Y 0.000 0.000 0.000
Cu 0.500 0.500 0.500

Results
SG = P4/mmm, No. 123
formation energy without anion corrections = 393 meV/atom

=====

Below is a relaxed structure of TiMoAsC2, with properties calculated at the GGA-PBE level.

a = 3.930 Å, b = 5.088 Å, c = 3.930 Å
α = 90.00°, β = 90.00°, γ = 90.00°
Fractional positions:
As 0.500 0.500 0.500
C 0.500 0.000 0.000
Ti 0.000 0.000 0.000
C 0.000 0.000 0.500
Mo 0.000 0.500 0.000

Results
energy of formation = 1.77 eV per atom
SG = P4/mmm, No. 123

=====

Below is a relaxed structure of LiCaEuAg, with properties calculated at the GGA-PBE level.

a = 5.421 Å, b = 5.421 Å, c = 5.421 Å
α = 60.00°, β = 60.00°, γ = 60.00°
Fractional positions:
Eu 0.250 0.250 0.250
Ca 0.750 0.750 0.750
Li 0.000 0.000 0.000
Ag 0.500 0.500 0.500

Results
energy of formation = -0.13 eV per atom
SG = F-43m, No. 216

=====

Below is a relaxed structure of Ta4B, with properties calculated at the GGA-PBE level.

a = 4.391 Å, b = 4.391 Å, c = 4.391 Å
α = 90.00°, β = 90.00°, γ = 90.00°
Fractional positions:
Ta 0.500 0.000 0.500
B 0.500 0.500 0.500
Ta 0.000 0.500 0.500
Ta 0.500 0.500 0.000
Ta 0.000 0.000 0.000

Results
energy of formation = 0.01 eV per atom
SG = Pm-3m, No. 221
E above lowest polymorph = 0 meV/atom

=====

Below is a relaxed structure of AcGdTeCl, with properties calculated at the GGA-PBE level.

a = 5.438 Å, b = 5.438 Å, c = 5.438 Å
α = 60.00°, β = 60.00°, γ = 60.00°
Fractional positions:
Cl 0.750 0.750 0.750
Te 0.250 0.250 0.250
Gd 0.000 0.000 0.000
Ac 0.500 0.500 0.500

Results
SG = F-43m, No. 216
formation energy without anion corrections = -1219 meV/atom

=====

So what do the calculations give for mass density? Going down the list: 4.1, 3.6, 5.1, 4.5, 14.4, 8.0 g cm⁻³.
So what do the calculations give for VASP energy? Going down the list: -5.853, -2.911, -6.591, -4.394, -10.807, -7.013 eV/atom.